Entry 1:
The following is a GGA-PBE calculation of a geometry-optimized NaHoCdPt structure, from the Alexandria database.

Computed properties:
As for the energy of formation from the pure elements: -0.445 eV/atom. Its spin magnetization is 0.00 μB/cell. The electronic total energy is -3.658 eV per atom.

Geometry as POSCAR:
```
NaHoCdPt
1.0
0.0000 3.4718 3.4718
3.4718 0.0000 3.4718
3.4718 3.4718 0.0000
Na Ho Cd Pt
1 1 1 1
direct
0.0000 0.0000 0.0000
0.7500 0.7500 0.7500
0.2500 0.2500 0.2500
0.5000 0.5000 0.5000
```

---

Entry 2:
The following is a GGA-PBE calculation of a geometry-optimized BePbOF2 structure, from the Alexandria database.

Computed properties:
Its spin magnetization is 0.90 μB/cell. The electronic total energy is -3.870 eV per atom. Its uncorrected formation energy is -643 meV/atom.

Geometry as POSCAR:
```
BePbOF2
1.0
4.6197 0.0000 0.0000
0.0000 4.6197 0.0000
0.0000 0.0000 4.2744
Be Pb O F
1 1 1 2
direct
0.0000 0.0000 0.0000
0.5000 0.5000 0.5000
0.5000 0.5000 0.0000
0.0000 0.5000 0.5000
0.5000 0.0000 0.5000
```

---

Entry 3:
The following is a GGA-PBE calculation of a geometry-optimized CsRb2GeSb2 structure, from the Alexandria database.

Computed properties:
Its spin magnetization is 0.00 μB/cell. The electronic total energy is -2.897 eV per atom. Its uncorrected formation energy is -288 meV/atom.

Geometry as POSCAR:
```
CsRb2GeSb2
1.0
-4.7664 7.6105 3.7390
4.7664 -7.6105 3.7390
4.7664 7.6105 -3.7390
Cs Rb Ge Sb
2 4 2 4
direct
0.2500 0.2500 0.0000
0.7500 0.7500 0.0000
0.1778 0.6769 0.8547
0.3222 0.1769 0.4992
0.6778 0.8231 0.5008
0.8222 0.3231 0.1453
0.2500 0.7500 0.5000
0.7500 0.2500 0.5000
0.0909 0.3252 0.4161
0.4091 0.8252 0.2343
0.5909 0.1748 0.7657
0.9091 0.6748 0.5839
```

---

Entry 4:
The following is a GGA-PBE calculation of a geometry-optimized La4PrEr3 structure, from the Alexandria database.

Computed properties:
As for the energy of formation from the pure elements: 0.121 eV/atom. Its spin magnetization is 0.00 μB/cell. The electronic total energy is -4.651 eV per atom.

Geometry as POSCAR:
```
La4PrEr3
1.0
6.8250 -5.9151 0.0000
6.8250 5.9151 0.0000
-0.8969 0.0000 3.4038
La Pr Er
4 1 3
direct
0.1170 0.6161 0.8628
0.3839 0.8830 0.1372
0.6161 0.1170 0.8628
0.8830 0.3839 0.1372
0.0000 0.0000 0.0000
0.2384 0.2384 0.7387
0.5000 0.5000 0.5000
0.7616 0.7616 0.2613
```

---

Entry 5:
The following is a GGA-PBE calculation of a geometry-optimized BeTl2Pt structure, from the Alexandria database.

Computed properties:
As for the energy of formation from the pure elements: 0.026 eV/atom. Its spin magnetization is 0.00 μB/cell. The electronic total energy is -3.599 eV per atom.

Geometry as POSCAR:
```
BeTl2Pt
1.0
4.4413 0.0000 0.0000
0.0000 3.7557 0.0000
-2.0478 0.0000 4.9540
Be Tl Pt
1 2 1
direct
0.0000 0.0000 0.0000
0.2720 0.0000 0.5573
0.5713 0.5000 0.1642
0.8709 0.5000 0.7652
```

---

Entry 6:
The following is a GGA-PBE calculation of a geometry-optimized Co3Au structure, from the Alexandria database.

Computed properties:
As for the energy of formation from the pure elements: 0.202 eV/atom. Its spin magnetization is 5.36 μB/cell. The electronic total energy is -5.946 eV per atom.

Geometry as POSCAR:
```
Co3Au
1.0
2.6875 0.0000 0.0000
0.0000 4.1818 0.0000
0.0000 0.0000 4.6034
Co Au
3 1
direct
0.0000 0.0000 0.0000
0.0000 0.5000 0.2960
0.5000 0.5000 0.8515
0.5000 0.0000 0.5017
```

---

Entry 7:
The following is a GGA-PBE calculation of a geometry-optimized CdSiBr2 structure, from the Alexandria database.

Computed properties:
Its spin magnetization is 0.00 μB/cell. The electronic total energy is -2.027 eV per atom. Its uncorrected formation energy is 394 meV/atom.

Geometry as POSCAR:
```
CdSiBr2
1.0
0.0000 3.6829 3.6829
3.6829 0.0000 3.6829
3.6829 3.6829 0.0000
Cd Si Br
1 1 2
direct
0.0000 0.0000 0.0000
0.2500 0.2500 0.2500
0.5000 0.5000 0.5000
0.7500 0.7500 0.7500
```

---

Entry 8:
The following is a GGA-PBE calculation of a geometry-optimized LaPr4Er2Mg structure, from the Alexandria database.

Computed properties:
As for the energy of formation from the pure elements: 0.058 eV/atom. Its spin magnetization is 0.00 μB/cell. The electronic total energy is -4.287 eV per atom.

Geometry as POSCAR:
```
LaPr4Er2Mg
1.0
5.9162 0.0000 0.0000
0.0000 5.9221 0.0000
-0.0061 0.0000 7.6269
La Pr Er Mg
1 4 2 1
direct
0.0000 0.0000 0.0000
0.9999 0.5000 0.2485
0.0001 0.5000 0.7515
0.5003 0.0000 0.2481
0.4997 0.0000 0.7519
0.0000 0.0000 0.5000
0.5000 0.5000 0.5000
0.5000 0.5000 0.0000
```

---

Entry 9:
The following is a GGA-PBE calculation of a geometry-optimized HfAlGe3 structure, from the Alexandria database.

Computed properties:
As for the energy of formation from the pure elements: 0.537 eV/atom. Its spin magnetization is 0.00 μB/cell. The electronic total energy is -4.972 eV per atom.

Geometry as POSCAR:
```
HfAlGe3
1.0
5.1578 0.0000 0.0000
0.0000 5.1578 0.0000
0.0000 0.0000 5.1578
Hf Al Ge
1 1 3
direct
0.0000 0.0000 0.0000
0.5000 0.5000 0.5000
0.0000 0.0000 0.5000
0.0000 0.5000 0.0000
0.5000 0.0000 0.0000
```

---

Entry 10:
The following is a GGA-PBE calculation of a geometry-optimized AlHg2Sb structure, from the Alexandria database.

Computed properties:
Its spin magnetization is 0.00 μB/cell. The electronic total energy is -1.924 eV per atom. Its uncorrected formation energy is 193 meV/atom.

Geometry as POSCAR:
```
AlHg2Sb
1.0
3.3631 0.0000 0.0000
0.0000 5.3488 0.0000
0.0000 0.0000 5.3928
Al Hg Sb
1 2 1
direct
0.0000 0.0000 0.0000
0.0000 0.5000 0.5000
0.5000 0.0000 0.5000
0.5000 0.5000 0.0000
```

---

Entry 11:
The following is a GGA-PBE calculation of a geometry-optimized TlBrO2 structure, from the Alexandria database.

Computed properties:
Its spin magnetization is 0.00 μB/cell. The electronic total energy is -3.670 eV per atom. Its uncorrected formation energy is -181 meV/atom.

Geometry as POSCAR:
```
TlBrO2
1.0
5.2646 -5.0137 0.0000
5.2646 5.0137 0.0000
-2.1963 0.0000 11.9411
Tl Br O
8 8 16
direct
0.1487 0.6666 0.8759
0.2170 0.3669 0.6277
0.3334 0.8513 0.6241
0.3669 0.2170 0.1277
0.6331 0.7830 0.8723
0.6666 0.1487 0.3759
0.7830 0.6331 0.3723
0.8513 0.3334 0.1241
0.0888 0.1102 0.8850
0.1102 0.0888 0.3850
0.3553 0.5529 0.3834
0.4471 0.6447 0.1166
0.5529 0.3553 0.8834
0.6447 0.4471 0.6166
0.8898 0.9112 0.6150
0.9112 0.8898 0.1150
0.0392 0.4757 0.7433
0.0917 0.9083 0.7500
0.1151 0.3033 0.0355
0.2097 0.6163 0.5213
0.3033 0.1151 0.5355
0.3837 0.7903 0.9787
0.4757 0.0392 0.2433
0.4845 0.5155 0.7500
0.5155 0.4845 0.2500
0.5243 0.9608 0.7567
0.6163 0.2097 0.0213
0.6967 0.8849 0.4645
0.7903 0.3837 0.4787
0.8849 0.6967 0.9645
0.9083 0.0917 0.2500
0.9608 0.5243 0.2567
```

---

Entry 12:
The following is a GGA-PBE calculation of a geometry-optimized Ga2Cu2Te structure, from the Alexandria database.

Computed properties:
Its spin magnetization is 0.00 μB/cell. The electronic total energy is -3.319 eV per atom. Its uncorrected formation energy is 158 meV/atom.

Geometry as POSCAR:
```
Ga2Cu2Te
1.0
8.0559 0.0000 0.0000
0.0000 8.0559 0.0000
0.0000 0.0000 2.7837
Ga Cu Te
4 4 2
direct
0.1828 0.3172 0.0000
0.3172 0.8172 0.0000
0.6828 0.1828 0.0000
0.8172 0.6828 0.0000
0.1085 0.6085 0.5000
0.3915 0.1085 0.5000
0.6085 0.8915 0.5000
0.8915 0.3915 0.5000
0.0000 0.0000 0.0000
0.5000 0.5000 0.0000
```

---

Entry 13:
The following is a GGA-PBE calculation of a geometry-optimized Mn4FeAs structure, from the Alexandria database.

Computed properties:
As for the energy of formation from the pure elements: 0.355 eV/atom. Its spin magnetization is 8.47 μB/cell. The electronic total energy is -7.944 eV per atom.

Geometry as POSCAR:
```
Mn4FeAs
1.0
0.0000 3.3449 3.3449
3.3449 0.0000 3.3449
3.3449 3.3449 0.0000
Mn Fe As
4 1 1
direct
0.1253 0.1253 0.1253
0.1253 0.1253 0.6242
0.1253 0.6242 0.1253
0.6242 0.1253 0.1253
0.7500 0.7500 0.7500
0.5000 0.5000 0.5000
```

---

Entry 14:
The following is a GGA-PBE calculation of a geometry-optimized HfOsPb2O8 structure, from the Alexandria database.

Computed properties:
Its spin magnetization is 0.00 μB/cell. The electronic total energy is -7.189 eV per atom. Its uncorrected formation energy is -1500 meV/atom.

Geometry as POSCAR:
```
HfOsPb2O8
1.0
5.1405 0.0000 0.0000
0.0000 6.5511 0.0000
-0.0539 0.0000 5.1476
Hf Os Pb O
1 1 2 8
direct
0.0000 0.0000 0.0000
0.0000 0.5000 0.0000
0.5000 0.2497 0.5000
0.5000 0.7503 0.5000
0.1638 0.2629 0.8163
0.1638 0.7371 0.8163
0.2681 0.5000 0.2351
0.2942 0.0000 0.2794
0.7058 0.0000 0.7206
0.7319 0.5000 0.7649
0.8362 0.2629 0.1837
0.8362 0.7371 0.1837
```